Entry 1:
Material: Rb2TlAu
Method: DFT, GGA-PBE
State: optimized geometry

Output
relative energy among the computed polymorphs = 217 meV/atom
E_form = 0.0456 eV/atom

a = 12.383 Å, b = 12.383 Å, c = 12.383 Å
α = 19.90°, β = 19.90°, γ = 19.90°
Element x y z (fractional)
Rb (0.103, 0.103, 0.103)
Rb (0.897, 0.897, 0.897)
Tl (0.000, 0.000, 0.000)
Au (0.500, 0.500, 0.500)

Entry 2:
Material: BaInCo2
Method: DFT, GGA-PBE
State: optimized geometry

Output
E_form = 0.0984 eV/atom

a = 6.254 Å, b = 6.254 Å, c = 6.254 Å
α = 41.87°, β = 41.87°, γ = 41.87°
Element x y z (fractional)
Ba (0.000, 0.000, 0.000)
In (0.500, 0.500, 0.500)
Co (0.177, 0.177, 0.177)
Co (0.823, 0.823, 0.823)

Entry 3:
Material: Br3O
Method: DFT, GGA-PBE
State: optimized geometry

Output
relative energy among the computed polymorphs = 0 meV/atom
formation energy without anion corrections = 0.436 eV/atom

a = 6.871 Å, b = 6.871 Å, c = 6.871 Å
α = 120.19°, β = 120.19°, γ = 89.68°
Element x y z (fractional)
Br (0.000, 0.000, 0.000)
Br (0.000, 0.000, 0.500)
Br (0.000, 0.500, 0.000)
Br (0.375, 0.625, 0.750)
Br (0.500, 0.000, 0.500)
Br (0.625, 0.375, 0.250)
O (0.125, 0.875, 0.250)
O (0.875, 0.125, 0.750)

Entry 4:
Material: Rb3NdTh3Te8
Method: DFT, GGA-PBE
State: optimized geometry

Output
formation energy without anion corrections = -1.242 eV/atom

a = 10.269 Å, b = 10.269 Å, c = 10.269 Å
α = 52.05°, β = 52.05°, γ = 52.05°
Element x y z (fractional)
Rb (0.000, 0.500, 0.500)
Rb (0.500, 0.000, 0.500)
Rb (0.500, 0.500, 0.000)
Nd (0.500, 0.500, 0.500)
Th (0.000, 0.000, 0.500)
Th (0.000, 0.500, 0.000)
Th (0.500, 0.000, 0.000)
Te (0.230, 0.738, 0.738)
Te (0.237, 0.237, 0.237)
Te (0.262, 0.262, 0.770)
Te (0.262, 0.770, 0.262)
Te (0.738, 0.230, 0.738)
Te (0.738, 0.738, 0.230)
Te (0.763, 0.763, 0.763)
Te (0.770, 0.262, 0.262)

Entry 5:
Material: Ti3VIr12
Method: DFT, GGA-PBE
State: optimized geometry

Output
E_form = -0.6657 eV/atom

a = 3.866 Å, b = 3.866 Å, c = 15.468 Å
α = 90.00°, β = 90.00°, γ = 90.00°
Element x y z (fractional)
Ti (0.000, 0.000, 0.000)
Ti (0.000, 0.000, 0.249)
Ti (0.000, 0.000, 0.751)
V (0.000, 0.000, 0.500)
Ir (0.000, 0.500, 0.126)
Ir (0.000, 0.500, 0.378)
Ir (0.000, 0.500, 0.622)
Ir (0.000, 0.500, 0.874)
Ir (0.500, 0.000, 0.126)
Ir (0.500, 0.000, 0.378)
Ir (0.500, 0.000, 0.622)
Ir (0.500, 0.000, 0.874)
Ir (0.500, 0.500, 0.000)
Ir (0.500, 0.500, 0.252)
Ir (0.500, 0.500, 0.500)
Ir (0.500, 0.500, 0.748)

Entry 6:
Material: Tl6Sb3Br14
Method: DFT, GGA-PBE
State: optimized geometry

Output
formation energy without anion corrections = -0.660 eV/atom

a = 11.393 Å, b = 11.393 Å, c = 8.155 Å
α = 90.00°, β = 90.00°, γ = 120.00°
Element x y z (fractional)
Tl (0.026, 0.550, 0.000)
Tl (0.287, 0.106, 0.592)
Tl (0.450, 0.477, 0.000)
Tl (0.523, 0.974, 0.000)
Tl (0.819, 0.713, 0.592)
Tl (0.894, 0.181, 0.592)
Sb (0.000, 0.000, 0.053)
Sb (0.333, 0.667, 0.471)
Sb (0.667, 0.333, 0.401)
Br (0.000, 0.000, 0.397)
Br (0.089, 0.850, 0.856)
Br (0.150, 0.239, 0.856)
Br (0.207, 0.438, 0.313)
Br (0.231, 0.793, 0.313)
Br (0.333, 0.667, 0.860)
Br (0.435, 0.201, 0.209)
Br (0.523, 0.431, 0.613)
Br (0.562, 0.769, 0.313)
Br (0.569, 0.092, 0.613)
Br (0.761, 0.911, 0.856)
Br (0.766, 0.565, 0.209)
Br (0.799, 0.234, 0.209)
Br (0.908, 0.477, 0.613)